# 1
Crystalline K5Np2F12 at its relaxed geometry, computed with PBE.

Calculated values
Spin magnetization = 7.000 μB per formula unit
Uncorrected formation energy = -3.134 eV/atom
Crystal system = monoclinic

Unit cell a=6.545 b=8.047 c=8.047 alpha=61.44 beta=83.65 gamma=83.65
Positions (direct):
Np: 0.000 0.746 0.254
Np: 0.000 0.254 0.746
F: 0.248 0.894 0.305
F: 0.809 0.449 0.844
F: 0.191 0.156 0.551
F: 0.809 0.844 0.449
F: 0.189 0.524 0.524
F: 0.191 0.551 0.156
F: 0.752 0.695 0.106
F: 0.146 0.931 0.931
F: 0.752 0.106 0.695
F: 0.248 0.305 0.894
F: 0.811 0.476 0.476
F: 0.854 0.069 0.069
K: 0.961 0.770 0.770
K: 0.500 0.000 0.000
K: 0.039 0.230 0.230
K: 0.491 0.636 0.636
K: 0.509 0.364 0.364


# 2
Crystalline K5Np3F12 at its relaxed geometry, computed with PBE.

Calculated values
Spin magnetization = 12.023 μB per formula unit
Uncorrected formation energy = -2.845 eV/atom
Crystal system = cubic

Unit cell a=13.199 b=13.199 c=13.199 alpha=109.47 beta=109.47 gamma=109.47
Positions (direct):
F: 0.187 0.578 0.220
F: 0.467 0.109 0.187
F: 0.391 0.578 0.858
F: 0.720 0.687 0.578
F: 0.642 0.109 0.422
F: 0.220 0.078 0.187
F: 0.078 0.858 0.891
F: 0.533 0.891 0.813
F: 0.922 0.142 0.109
F: 0.280 0.313 0.422
F: 0.813 0.391 0.533
F: 0.609 0.187 0.967
F: 0.780 0.858 0.467
F: 0.609 0.422 0.142
F: 0.967 0.280 0.858
F: 0.078 0.220 0.687
F: 0.109 0.642 0.922
F: 0.967 0.687 0.609
F: 0.858 0.078 0.391
F: 0.358 0.891 0.578
F: 0.422 0.609 0.642
F: 0.813 0.422 0.780
F: 0.891 0.358 0.078
F: 0.220 0.142 0.533
F: 0.687 0.720 0.078
F: 0.033 0.313 0.391
F: 0.642 0.533 0.720
F: 0.687 0.967 0.109
F: 0.720 0.033 0.642
F: 0.578 0.187 0.720
F: 0.187 0.609 0.467
F: 0.109 0.467 0.687
F: 0.422 0.813 0.280
F: 0.858 0.780 0.967
F: 0.313 0.280 0.922
F: 0.533 0.642 0.220
F: 0.033 0.720 0.142
F: 0.391 0.813 0.033
F: 0.142 0.922 0.609
F: 0.358 0.467 0.280
F: 0.313 0.033 0.891
F: 0.780 0.922 0.813
F: 0.142 0.220 0.033
F: 0.891 0.533 0.313
F: 0.922 0.780 0.313
F: 0.578 0.391 0.358
F: 0.280 0.967 0.358
F: 0.467 0.358 0.780
Np: 0.625 0.375 0.750
Np: 0.375 0.750 0.625
Np: 0.875 0.750 0.125
Np: 0.875 0.125 0.250
Np: 0.250 0.125 0.375
Np: 0.125 0.250 0.875
Np: 0.375 0.625 0.250
Np: 0.625 0.250 0.375
Np: 0.750 0.875 0.625
Np: 0.250 0.625 0.875
Np: 0.125 0.875 0.750
Np: 0.750 0.375 0.125
K: 0.000 0.000 0.500
K: 0.500 0.000 0.500
K: 0.750 0.625 0.375
K: 0.000 0.500 0.000
K: 0.625 0.750 0.875
K: 0.875 0.250 0.625
K: 0.875 0.625 0.750
K: 0.625 0.875 0.250
K: 0.000 0.500 0.500
K: 0.500 0.500 0.500
K: 0.375 0.250 0.125
K: 0.125 0.750 0.375
K: 0.375 0.125 0.750
K: 0.250 0.875 0.125
K: 0.500 0.500 0.000
K: 0.500 0.000 0.000
K: 0.125 0.375 0.250
K: 0.750 0.125 0.875
K: 0.250 0.375 0.625
K: 0.000 0.000 0.000


# 3
Crystalline KNp2F9 at its relaxed geometry, computed with PBE.

Calculated values
Spin magnetization = 6.000 μB per formula unit
Uncorrected formation energy = -3.395 eV/atom
Crystal system = orthorhombic
Energy above the most stable polymorph in this dataset = 0.000 eV per atom

Unit cell a=6.988 b=8.728 c=11.580 alpha=90.00 beta=90.00 gamma=90.00
Positions (direct):
F: 0.572 0.494 0.099
F: 0.806 0.568 0.577
F: 0.156 0.172 0.250
F: 0.352 0.216 0.894
F: 0.148 0.716 0.894
F: 0.656 0.328 0.750
F: 0.072 0.006 0.901
F: 0.344 0.672 0.250
F: 0.352 0.216 0.606
F: 0.648 0.784 0.394
F: 0.694 0.068 0.923
F: 0.194 0.432 0.077
F: 0.970 0.292 0.597
F: 0.572 0.494 0.401
F: 0.852 0.284 0.394
F: 0.928 0.994 0.401
F: 0.428 0.506 0.599
F: 0.970 0.292 0.903
F: 0.072 0.006 0.599
F: 0.428 0.506 0.901
F: 0.844 0.828 0.750
F: 0.306 0.932 0.423
F: 0.470 0.208 0.097
F: 0.030 0.708 0.097
F: 0.148 0.716 0.606
F: 0.194 0.432 0.423
F: 0.530 0.792 0.903
F: 0.928 0.994 0.099
F: 0.648 0.784 0.106
F: 0.694 0.068 0.577
F: 0.806 0.568 0.923
F: 0.030 0.708 0.403
F: 0.530 0.792 0.597
F: 0.306 0.932 0.077
F: 0.470 0.208 0.403
F: 0.852 0.284 0.106
K: 0.146 0.466 0.750
K: 0.354 0.966 0.750
K: 0.854 0.534 0.250
K: 0.646 0.034 0.250
Np: 0.844 0.827 0.949
Np: 0.156 0.173 0.449
Np: 0.844 0.827 0.551
Np: 0.344 0.673 0.051
Np: 0.156 0.173 0.051
Np: 0.656 0.327 0.551
Np: 0.344 0.673 0.449
Np: 0.656 0.327 0.949


# 4
Crystalline KNp2F7 at its relaxed geometry, computed with PBE.

Calculated values
Spin magnetization = 8.000 μB per formula unit
Uncorrected formation energy = -3.328 eV/atom
Crystal system = trigonal
Energy above the most stable polymorph in this dataset = 0.000 eV per atom

Unit cell a=4.188 b=4.188 c=11.907 alpha=79.87 beta=79.87 gamma=60.00
Positions (direct):
K: 0.500 0.500 0.500
F: 0.585 0.585 0.244
F: 0.720 0.720 0.841
F: 0.870 0.870 0.391
F: 0.130 0.130 0.609
F: 0.415 0.415 0.756
F: 0.280 0.280 0.159
F: 0.000 0.000 0.000
Np: 0.066 0.066 0.802
Np: 0.934 0.934 0.198


# 5
Crystalline K6NpF12 at its relaxed geometry, computed with PBE.

Calculated values
Spin magnetization = 2.522 μB per formula unit
Uncorrected formation energy = -2.812 eV/atom
Crystal system = trigonal
Energy above the most stable polymorph in this dataset = 0.000 eV per atom

Unit cell a=7.672 b=7.672 c=7.672 alpha=99.49 beta=99.49 gamma=99.49
Positions (direct):
K: 0.155 0.357 0.600
K: 0.357 0.600 0.155
K: 0.845 0.643 0.400
K: 0.643 0.400 0.845
K: 0.600 0.155 0.357
K: 0.400 0.845 0.643
F: 0.906 0.743 0.029
F: 0.832 0.399 0.600
F: 0.168 0.601 0.400
F: 0.399 0.600 0.832
F: 0.600 0.832 0.399
F: 0.094 0.257 0.971
F: 0.400 0.168 0.601
F: 0.601 0.400 0.168
F: 0.029 0.906 0.743
F: 0.257 0.971 0.094
F: 0.743 0.029 0.906
F: 0.971 0.094 0.257
Np: 0.000 0.000 0.000


# 6
Crystalline KNpF5 at its relaxed geometry, computed with PBE.

Calculated values
Spin magnetization = 3.000 μB per formula unit
Uncorrected formation energy = -3.335 eV/atom
Crystal system = monoclinic
Energy above the most stable polymorph in this dataset = 0.000 eV per atom

Unit cell a=6.218 b=6.218 c=8.993 alpha=71.95 beta=71.95 gamma=71.94
Positions (direct):
F: 0.939 0.061 0.250
F: 0.177 0.269 0.892
F: 0.061 0.939 0.750
F: 0.253 0.681 0.483
F: 0.731 0.823 0.608
F: 0.269 0.177 0.392
F: 0.681 0.253 0.983
F: 0.747 0.319 0.517
F: 0.319 0.747 0.017
F: 0.823 0.731 0.108
Np: 0.000 0.000 0.000
Np: 0.000 0.000 0.500
K: 0.469 0.531 0.750
K: 0.531 0.469 0.250